First-principles (PBE) data for crystalline VNi5Pd at its relaxed geometry, as listed in the Alexandria database.

a = 4.423 Å, b = 13.959 Å, c = 5.840 Å
α = 90.00°, β = 110.54°, γ = 90.00°
Atoms (fractional coordinates):
1 V 0.211 0.022 0.225
2 V 0.211 0.478 0.725
3 V 0.789 0.522 0.275
4 V 0.789 0.978 0.775
5 Ni 0.058 0.177 0.342
6 Ni 0.058 0.323 0.842
7 Ni 0.062 0.147 0.915
8 Ni 0.062 0.353 0.415
9 Ni 0.231 0.048 0.647
10 Ni 0.231 0.452 0.147
11 Ni 0.341 0.610 0.012
12 Ni 0.341 0.890 0.512
13 Ni 0.376 0.585 0.446
14 Ni 0.376 0.915 0.946
15 Ni 0.624 0.085 0.054
16 Ni 0.624 0.415 0.554
17 Ni 0.659 0.110 0.488
18 Ni 0.659 0.390 0.988
19 Ni 0.769 0.548 0.853
20 Ni 0.769 0.952 0.353
21 Ni 0.938 0.647 0.585
22 Ni 0.938 0.853 0.085
23 Ni 0.942 0.677 0.158
24 Ni 0.942 0.823 0.658
25 Pd 0.499 0.732 0.749
26 Pd 0.499 0.768 0.249
27 Pd 0.501 0.232 0.751
28 Pd 0.501 0.268 0.251

Values from the calculation:
As for the space group: P2_1/c (14). Its formation energy is -0.22 eV per formula unit.